Record 1
# HoSc2Ga, relaxed, DFT PBE-GGA
data_HoSc2Ga
_symmetry_space_group_name_H-M 'R -3 m'
_symmetry_Int_Tables_number 166
_symmetry_space_group_name_Hall '-R 3 2"'
_cell_length_a 3.2929
_cell_length_b 3.2929
_cell_length_c 32.0294
_cell_angle_alpha 90.00
_cell_angle_beta 90.00
_cell_angle_gamma 120.00
loop_
_atom_site_label
_atom_site_fract_x
_atom_site_fract_y
_atom_site_fract_z
Ho1 0.0000 0.0000 0.0000
Sc1 0.0000 0.0000 0.1012
Ga1 0.0000 0.0000 0.5000
# VASP energy: -5.07 eV/atom
# formation energy from the elements: 0.00 eV/atom

Record 2
# Ho3Sc4Ga4, relaxed, DFT PBE-GGA
data_Ho3Sc4Ga4
_symmetry_space_group_name_H-M 'I m m m'
_symmetry_Int_Tables_number 71
_symmetry_space_group_name_Hall '-I 2 2'
_cell_length_a 4.680
_cell_length_b 7.023
_cell_length_c 15.394
_cell_angle_alpha 90.00
_cell_angle_beta 90.00
_cell_angle_gamma 90.00
loop_
_atom_site_label
_atom_site_fract_x
_atom_site_fract_y
_atom_site_fract_z
Ho1 0.000 0.000 0.000
Ho2 0.000 0.500 0.110
Sc1 0.000 0.287 0.324
Ga1 0.000 0.000 0.196
Ga2 0.000 0.192 0.500
# VASP energy: -5.08 eV/atom
# formation energy from the elements: -0.43 eV/atom

Record 3
# Ho2ScGa2, relaxed, DFT PBE-GGA
data_Ho2ScGa2
_symmetry_space_group_name_H-M 'P 4/m b m'
_symmetry_Int_Tables_number 127
_symmetry_space_group_name_Hall '-P 4 2ab'
_cell_length_a 7.456
_cell_length_b 7.456
_cell_length_c 4.242
_cell_angle_alpha 90.00
_cell_angle_beta 90.00
_cell_angle_gamma 90.00
loop_
_atom_site_label
_atom_site_fract_x
_atom_site_fract_y
_atom_site_fract_z
Ho1 0.175 0.325 0.000
Sc1 0.000 0.000 0.500
Ga1 0.124 0.624 0.500
# VASP energy: -4.86 eV/atom
# formation energy from the elements: -0.55 eV/atom

Record 4
# Ho2ScGa, relaxed, DFT PBE-GGA
data_Ho2ScGa
_symmetry_space_group_name_H-M 'F m -3 m'
_symmetry_Int_Tables_number 225
_symmetry_space_group_name_Hall '-F 4 2 3'
_cell_length_a 7.329
_cell_length_b 7.329
_cell_length_c 7.329
_cell_angle_alpha 90.00
_cell_angle_beta 90.00
_cell_angle_gamma 90.00
loop_
_atom_site_label
_atom_site_fract_x
_atom_site_fract_y
_atom_site_fract_z
Ho1 0.250 0.250 0.250
Sc1 0.000 0.000 0.000
Ga1 0.000 0.000 0.500
# VASP energy: -4.77 eV/atom
# formation energy from the elements: -0.14 eV/atom

Record 5
# HoSc3Ga2, relaxed, DFT PBE-GGA
data_HoSc3Ga2
_symmetry_space_group_name_H-M 'C 1 2/m 1'
_symmetry_Int_Tables_number 12
_cell_length_a 16.466
_cell_length_b 4.415
_cell_length_c 8.209
_cell_angle_alpha 90.00
_cell_angle_beta 113.34
_cell_angle_gamma 90.00
loop_
_symmetry_equiv_pos_as_xyz
'x,y,z'
'-x,-y,-z'
'-x,y,-z'
'x,-y,z'
'x+1/2,y+1/2,z'
'-x+1/2,-y+1/2,-z'
'-x+1/2,y+1/2,-z'
'x+1/2,-y+1/2,z'
loop_
_atom_site_label
_atom_site_fract_x
_atom_site_fract_y
_atom_site_fract_z
Ho1 0.120 0.000 0.158
Sc1 0.058 0.000 0.702
Sc2 0.145 0.500 0.487
Sc3 0.187 0.500 0.913
Ga1 0.008 0.500 0.847
Ga2 0.231 0.000 0.700
# VASP energy: -5.31 eV/atom
# formation energy from the elements: -0.38 eV/atom

Record 6
# Ho2ScGa, relaxed, DFT PBE-GGA
data_Ho2ScGa
_symmetry_space_group_name_H-M 'R 3 m'
_symmetry_Int_Tables_number 160
_symmetry_space_group_name_Hall 'R 3 -2"'
_cell_length_a 3.5141
_cell_length_b 3.5141
_cell_length_c 29.7522
_cell_angle_alpha 90.00
_cell_angle_beta 90.00
_cell_angle_gamma 120.00
loop_
_atom_site_label
_atom_site_fract_x
_atom_site_fract_y
_atom_site_fract_z
Ho1 0.0000 0.0000 0.0000
Ho2 0.0000 0.0000 0.1844
Sc1 0.0000 0.0000 0.4256
Ga1 0.0000 0.0000 0.5920
# VASP energy: -4.80 eV/atom
# formation energy from the elements: -0.17 eV/atom

Record 7
# HoSc2Ga, relaxed, DFT PBE-GGA
data_HoSc2Ga
_symmetry_space_group_name_H-M 'C m c m'
_symmetry_Int_Tables_number 63
_symmetry_space_group_name_Hall '-C 2c 2'
_cell_length_a 4.259
_cell_length_b 11.301
_cell_length_c 8.083
_cell_angle_alpha 90.00
_cell_angle_beta 90.00
_cell_angle_gamma 90.00
loop_
_atom_site_label
_atom_site_fract_x
_atom_site_fract_y
_atom_site_fract_z
Ho1 0.000 0.060 0.250
Sc1 0.000 0.358 0.056
Ga1 0.000 0.233 0.750
# VASP energy: -5.35 eV/atom
# formation energy from the elements: -0.28 eV/atom

Record 8
# Ho4ScGa, relaxed, DFT PBE-GGA
data_Ho4ScGa
_symmetry_space_group_name_H-M 'C 1 2/c 1'
_symmetry_Int_Tables_number 15
_cell_length_a 8.683
_cell_length_b 13.311
_cell_length_c 6.095
_cell_angle_alpha 90.00
_cell_angle_beta 108.08
_cell_angle_gamma 90.00
loop_
_symmetry_equiv_pos_as_xyz
'x,y,z'
'-x,-y,-z'
'-x,y,-z+1/2'
'x,-y,z+1/2'
'x+1/2,y+1/2,z'
'-x+1/2,-y+1/2,-z'
'-x+1/2,y+1/2,-z+1/2'
'x+1/2,-y+1/2,z+1/2'
loop_
_atom_site_label
_atom_site_fract_x
_atom_site_fract_y
_atom_site_fract_z
Ho1 0.101 0.183 0.048
Ho2 0.215 0.395 0.375
Sc1 0.000 0.399 0.750
Ga1 0.000 0.001 0.250
# VASP energy: -4.70 eV/atom
# formation energy from the elements: -0.09 eV/atom

Record 9
# HoSc2Ga, relaxed, DFT PBE-GGA
data_HoSc2Ga
_symmetry_space_group_name_H-M 'P 4/m m m'
_symmetry_Int_Tables_number 123
_symmetry_space_group_name_Hall '-P 4 2'
_cell_length_a 3.330
_cell_length_b 3.330
_cell_length_c 8.420
_cell_angle_alpha 90.00
_cell_angle_beta 90.00
_cell_angle_gamma 90.00
loop_
_atom_site_label
_atom_site_fract_x
_atom_site_fract_y
_atom_site_fract_z
Ho1 0.000 0.000 0.000
Sc1 0.500 0.500 0.293
Ga1 0.000 0.000 0.500
# VASP energy: -5.36 eV/atom
# formation energy from the elements: -0.29 eV/atom

Record 10
# Ho4ScGa2, relaxed, DFT PBE-GGA
data_Ho4ScGa2
_symmetry_space_group_name_H-M 'P 1'
_symmetry_Int_Tables_number 1
_cell_length_a 6.708
_cell_length_b 7.489
_cell_length_c 8.725
_cell_angle_alpha 72.91
_cell_angle_beta 71.28
_cell_angle_gamma 65.83
loop_
_symmetry_equiv_pos_as_xyz
'x,y,z'
loop_
_atom_site_label
_atom_site_fract_x
_atom_site_fract_y
_atom_site_fract_z
Ho1 0.000 0.000 0.000
Ho2 0.006 0.957 0.585
Ho3 0.018 0.488 0.890
Ho4 0.422 0.427 0.109
Ho5 0.439 0.486 0.535
Ho6 0.592 0.001 0.403
Ho7 0.625 0.745 0.155
Ho8 0.962 0.469 0.469
Sc1 0.518 0.745 0.773
Sc2 0.523 0.134 0.869
Ga1 0.148 0.772 0.294
Ga2 0.227 0.117 0.204
Ga3 0.253 0.155 0.685
Ga4 0.810 0.310 0.262
# VASP energy: -4.61 eV/atom
# formation energy from the elements: -0.23 eV/atom

Record 11
# Ho2ScGa, relaxed, DFT PBE-GGA
data_Ho2ScGa
_symmetry_space_group_name_H-M 'P 4/m m m'
_symmetry_Int_Tables_number 123
_symmetry_space_group_name_Hall '-P 4 2'
_cell_length_a 3.463
_cell_length_b 3.463
_cell_length_c 8.519
_cell_angle_alpha 90.00
_cell_angle_beta 90.00
_cell_angle_gamma 90.00
loop_
_atom_site_label
_atom_site_fract_x
_atom_site_fract_y
_atom_site_fract_z
Ho1 0.000 0.000 0.220
Sc1 0.500 0.500 0.500
Ga1 0.500 0.500 0.000
# VASP energy: -4.89 eV/atom
# formation energy from the elements: -0.26 eV/atom

Record 12
# Ho2ScGa6, relaxed, DFT PBE-GGA
data_Ho2ScGa6
_symmetry_space_group_name_H-M 'I m m m'
_symmetry_Int_Tables_number 71
_symmetry_space_group_name_Hall '-I 2 2'
_cell_length_a 4.226
_cell_length_b 6.781
_cell_length_c 13.459
_cell_angle_alpha 90.00
_cell_angle_beta 90.00
_cell_angle_gamma 90.00
loop_
_atom_site_label
_atom_site_fract_x
_atom_site_fract_y
_atom_site_fract_z
Ho1 0.000 0.000 0.124
Sc1 0.000 0.500 0.000
Ga1 0.000 0.192 0.314
Ga2 0.000 0.297 0.500
# VASP energy: -4.15 eV/atom
# formation energy from the elements: -0.42 eV/atom